Material: Sr3YIn4
Method: DFT, PBE
State: relaxed

The structure in CIF format:
```
data_Sr3YIn4
_chemical_formula_sum 'Sr3 Y1 In4'
_cell_length_a 3.9623
_cell_length_b 3.9623
_cell_length_c 16.1929
_cell_angle_alpha 90.00
_cell_angle_beta 90.00
_cell_angle_gamma 90.00
_space_group_name_H-M_alt 'P 4/m m m'
_space_group_IT_number 123
_space_group_name_Hall '-P 4 2'
loop_
_atom_site_label
_atom_site_type_symbol
_atom_site_fract_x
_atom_site_fract_y
_atom_site_fract_z
_atom_site_occupancy
Sr1 Sr 0.0000 0.0000 0.0000 1
Sr2 Sr 0.0000 0.0000 0.2585 1
Y1 Y 0.0000 0.0000 0.5000 1
In1 In 0.5000 0.5000 0.1283 1
In2 In 0.5000 0.5000 0.3930 1
```

Summary:
Its energy of formation is -3.5 eV/f.u. For the density of states at the Fermi level, the calculation gives 0.80 states/eV per atom. For the mass density, the calculation gives 5.3 g cm⁻³.

Material: SrY2In
Method: DFT, PBE
State: relaxed

The structure in CIF format:
```
data_SrY2In
_chemical_formula_sum 'Sr4 Y8 In4'
_cell_length_a 8.0182
_cell_length_b 8.0182
_cell_length_c 8.0182
_cell_angle_alpha 90.00
_cell_angle_beta 90.00
_cell_angle_gamma 90.00
_space_group_name_H-M_alt 'F -4 3 m'
_space_group_IT_number 216
_space_group_name_Hall 'F -4 2 3'
loop_
_atom_site_label
_atom_site_type_symbol
_atom_site_fract_x
_atom_site_fract_y
_atom_site_fract_z
_atom_site_occupancy
Sr1 Sr 0.0000 0.0000 0.0000 1
Y1 Y 0.0000 0.0000 0.5000 1
Y2 Y 0.2500 0.2500 0.2500 1
In1 In 0.2500 0.2500 0.7500 1
```

Summary:
Its energy of formation is 0.0 eV/f.u. For the density of states at the Fermi level, the calculation gives 1.36 states/eV per atom. For the mass density, the calculation gives 4.9 g cm⁻³.

Material: SrYIn
Method: DFT, PBE
State: relaxed

The structure in CIF format:
```
data_SrYIn
_chemical_formula_sum 'Sr2 Y2 In2'
_cell_length_a 5.7954
_cell_length_b 3.8720
_cell_length_c 9.3657
_cell_angle_alpha 90.00
_cell_angle_beta 108.02
_cell_angle_gamma 90.00
_space_group_name_H-M_alt 'P 1 m 1'
_space_group_IT_number 6
_space_group_name_Hall 'P -2y'
loop_
_atom_site_label
_atom_site_type_symbol
_atom_site_fract_x
_atom_site_fract_y
_atom_site_fract_z
_atom_site_occupancy
Sr1 Sr 0.0000 0.0000 0.0000 1
Sr2 Sr 0.3648 0.0000 0.7298 1
Y1 Y 0.2785 0.5000 0.3648 1
Y2 Y 0.7665 0.0000 0.3654 1
In1 In 0.5372 0.5000 0.0831 1
In2 In 0.8187 0.5000 0.6473 1
```

Summary:
Its energy of formation is -0.8 eV/f.u. For the density of states at the Fermi level, the calculation gives 0.90 states/eV per atom. For the mass density, the calculation gives 4.8 g cm⁻³.

Material: SrYIn2
Method: DFT, PBE
State: relaxed

The structure in CIF format:
```
data_SrYIn2
_chemical_formula_sum 'Sr4 Y4 In8'
_cell_length_a 8.6368
_cell_length_b 8.6368
_cell_length_c 7.2571
_cell_angle_alpha 90.00
_cell_angle_beta 90.00
_cell_angle_gamma 90.00
_space_group_name_H-M_alt 'I -4 2 d'
_space_group_IT_number 122
_space_group_name_Hall 'I -4 2bw'
loop_
_atom_site_label
_atom_site_type_symbol
_atom_site_fract_x
_atom_site_fract_y
_atom_site_fract_z
_atom_site_occupancy
Sr1 Sr 0.0000 0.0000 0.0000 1
Y1 Y 0.0000 0.0000 0.5000 1
In1 In 0.2313 0.7500 0.6250 1
```

Summary:
Its energy of formation is -0.2 eV/f.u. For the density of states at the Fermi level, the calculation gives 0.89 states/eV per atom. For the mass density, the calculation gives 5.0 g cm⁻³.

Material: SrY3In4
Method: DFT, PBE
State: relaxed

The structure in CIF format:
```
data_SrY3In4
_chemical_formula_sum 'Sr2 Y6 In8'
_cell_length_a 10.8701
_cell_length_b 7.6169
_cell_length_c 5.4361
_cell_angle_alpha 90.00
_cell_angle_beta 90.00
_cell_angle_gamma 90.00
_space_group_name_H-M_alt 'P m m a'
_space_group_IT_number 51
_space_group_name_Hall '-P 2a 2a'
loop_
_atom_site_label
_atom_site_type_symbol
_atom_site_fract_x
_atom_site_fract_y
_atom_site_fract_z
_atom_site_occupancy
Sr1 Sr 0.0000 0.0000 0.0000 1
Y1 Y 0.0000 0.5000 0.0000 1
Y2 Y 0.2500 0.0000 0.4955 1
Y3 Y 0.2500 0.5000 0.4943 1
In1 In 0.0000 0.2606 0.5000 1
In2 In 0.2500 0.2605 0.9932 1
```

Summary:
Its energy of formation is -3.6 eV/f.u. For the density of states at the Fermi level, the calculation gives 0.61 states/eV per atom. For the mass density, the calculation gives 6.0 g cm⁻³.

Material: SrY2In
Method: DFT, PBE
State: relaxed

The structure in CIF format:
```
data_SrY2In
_chemical_formula_sum 'Sr2 Y4 In2'
_cell_length_a 5.1071
_cell_length_b 5.1071
_cell_length_c 9.6949
_cell_angle_alpha 90.00
_cell_angle_beta 90.00
_cell_angle_gamma 90.00
_space_group_name_H-M_alt 'I 4/m m m'
_space_group_IT_number 139
_space_group_name_Hall '-I 4 2'
loop_
_atom_site_label
_atom_site_type_symbol
_atom_site_fract_x
_atom_site_fract_y
_atom_site_fract_z
_atom_site_occupancy
Sr1 Sr 0.0000 0.0000 0.0000 1
Y1 Y 0.0000 0.5000 0.2500 1
In1 In 0.0000 0.0000 0.5000 1
```

Summary:
Its energy of formation is -0.2 eV/f.u. For the density of states at the Fermi level, the calculation gives 1.18 states/eV per atom. For the mass density, the calculation gives 5.0 g cm⁻³.

Material: SrYIn
Method: DFT, PBE
State: relaxed

The structure in CIF format:
```
data_SrYIn
_chemical_formula_sum 'Sr4 Y4 In4'
_cell_length_a 14.9359
_cell_length_b 3.7077
_cell_length_c 7.5939
_cell_angle_alpha 90.00
_cell_angle_beta 104.25
_cell_angle_gamma 90.00
_space_group_name_H-M_alt 'C 1 2/m 1'
_space_group_IT_number 12
_space_group_name_Hall '-C 2y'
loop_
_atom_site_label
_atom_site_type_symbol
_atom_site_fract_x
_atom_site_fract_y
_atom_site_fract_z
_atom_site_occupancy
Sr1 Sr 0.1357 0.0000 0.0690 1
Y1 Y 0.1543 0.0000 0.5683 1
In1 In 0.0020 0.5000 0.7033 1
```

Summary:
Its energy of formation is -0.8 eV/f.u. For the density of states at the Fermi level, the calculation gives 0.97 states/eV per atom. For the mass density, the calculation gives 4.7 g cm⁻³.

Material: SrYIn
Method: DFT, PBE
State: relaxed

The structure in CIF format:
```
data_SrYIn
_chemical_formula_sum 'Sr2 Y2 In2'
_cell_length_a 5.6045
_cell_length_b 5.6045
_cell_length_c 11.8229
_cell_angle_alpha 90.00
_cell_angle_beta 90.00
_cell_angle_gamma 120.00
_space_group_name_H-M_alt 'P 63/m m c'
_space_group_IT_number 194
_space_group_name_Hall '-P 6c 2c'
loop_
_atom_site_label
_atom_site_type_symbol
_atom_site_fract_x
_atom_site_fract_y
_atom_site_fract_z
_atom_site_occupancy
Sr1 Sr 0.3333 0.6667 0.2500 1
Y1 Y 0.0000 0.0000 0.0000 1
In1 In 0.0000 0.0000 0.2500 1
```

Summary:
Its energy of formation is 1.6 eV/f.u. For the density of states at the Fermi level, the calculation gives 1.51 states/eV per atom. For the mass density, the calculation gives 3.0 g cm⁻³.

Material: SrYIn
Method: DFT, PBE
State: relaxed

The structure in CIF format:
```
data_SrYIn
_chemical_formula_sum 'Sr2 Y2 In2'
_cell_length_a 5.7522
_cell_length_b 3.9041
_cell_length_c 9.1156
_cell_angle_alpha 90.00
_cell_angle_beta 102.95
_cell_angle_gamma 90.00
_space_group_name_H-M_alt 'P 1 2/m 1'
_space_group_IT_number 10
_space_group_name_Hall '-P 2y'
loop_
_atom_site_label
_atom_site_type_symbol
_atom_site_fract_x
_atom_site_fract_y
_atom_site_fract_z
_atom_site_occupancy
Sr1 Sr 0.2032 0.0000 0.3647 1
Y1 Y 0.0000 0.5000 0.0000 1
Y2 Y 0.5000 0.0000 0.0000 1
In1 In 0.3229 0.5000 0.7193 1
```

Summary:
Its energy of formation is -0.8 eV/f.u. For the density of states at the Fermi level, the calculation gives 1.04 states/eV per atom. For the mass density, the calculation gives 4.8 g cm⁻³.

Material: Sr4YIn5
Method: DFT, PBE
State: relaxed

The structure in CIF format:
```
data_Sr4YIn5
_chemical_formula_sum 'Sr4 Y1 In5'
_cell_length_a 3.9950
_cell_length_b 3.9950
_cell_length_c 20.1608
_cell_angle_alpha 90.00
_cell_angle_beta 90.00
_cell_angle_gamma 90.00
_space_group_name_H-M_alt 'P 4/m m m'
_space_group_IT_number 123
_space_group_name_Hall '-P 4 2'
loop_
_atom_site_label
_atom_site_type_symbol
_atom_site_fract_x
_atom_site_fract_y
_atom_site_fract_z
_atom_site_occupancy
Sr1 Sr 0.0000 0.0000 0.1030 1
Sr2 Sr 0.0000 0.0000 0.3077 1
Y1 Y 0.0000 0.0000 0.5000 1
In1 In 0.5000 0.5000 0.0000 1
In2 In 0.5000 0.5000 0.2046 1
In3 In 0.5000 0.5000 0.4151 1
```

Summary:
Its energy of formation is -4.4 eV/f.u. For the density of states at the Fermi level, the calculation gives 0.67 states/eV per atom. For the mass density, the calculation gives 5.2 g cm⁻³.

Material: SrYIn2
Method: DFT, PBE
State: relaxed

The structure in CIF format:
```
data_SrYIn2
_chemical_formula_sum 'Sr4 Y4 In8'
_cell_length_a 7.8976
_cell_length_b 7.8976
_cell_length_c 7.8976
_cell_angle_alpha 90.00
_cell_angle_beta 90.00
_cell_angle_gamma 90.00
_space_group_name_H-M_alt 'F -4 3 m'
_space_group_IT_number 216
_space_group_name_Hall 'F -4 2 3'
loop_
_atom_site_label
_atom_site_type_symbol
_atom_site_fract_x
_atom_site_fract_y
_atom_site_fract_z
_atom_site_occupancy
Sr1 Sr 0.0000 0.0000 0.0000 1
Y1 Y 0.2500 0.2500 0.2500 1
In1 In 0.0000 0.0000 0.5000 1
In2 In 0.2500 0.2500 0.7500 1
```

Summary:
Its energy of formation is 0.0 eV/f.u. For the density of states at the Fermi level, the calculation gives 0.96 states/eV per atom. For the mass density, the calculation gives 5.5 g cm⁻³.

Material: SrYIn
Method: DFT, PBE
State: relaxed

The structure in CIF format:
```
data_SrYIn
_chemical_formula_sum 'Sr2 Y2 In2'
_cell_length_a 5.1340
_cell_length_b 5.1340
_cell_length_c 8.3033
_cell_angle_alpha 90.00
_cell_angle_beta 90.00
_cell_angle_gamma 90.00
_space_group_name_H-M_alt 'P 4/n m m'
_space_group_IT_number 129
loop_
_space_group_symop_operation_xyz
'x,y,z'
'-x,-y,-z'
'-y+1/2,x,z'
'y+1/2,-x,-z'
'-x+1/2,-y+1/2,z'
'x+1/2,y+1/2,-z'
'y,-x+1/2,z'
'-y,x+1/2,-z'
'x+1/2,-y,-z'
'-x+1/2,y,z'
'-y,-x,-z'
'y,x,z'
'-x,y+1/2,-z'
'x,-y+1/2,z'
'y+1/2,x+1/2,-z'
'-y+1/2,-x+1/2,z'
loop_
_atom_site_label
_atom_site_type_symbol
_atom_site_fract_x
_atom_site_fract_y
_atom_site_fract_z
_atom_site_occupancy
Sr1 Sr 0.2500 0.2500 0.1869 1
Y1 Y 0.2500 0.2500 0.7143 1
In1 In 0.2500 0.7500 0.5000 1
```

Summary:
Its energy of formation is -0.3 eV/f.u. For the density of states at the Fermi level, the calculation gives 0.60 states/eV per atom. For the mass density, the calculation gives 4.4 g cm⁻³.